Here is a geometry-optimized Ac3InNi3 structure from Alexandria via LeMat-Bulk. Energies are from PBE-GGA.

Output
Crystal system: orthorhombic
Energy relative to the lowest polymorph listed for this composition in meV per atom: 0
DFT total energy in eV/atom: -4.93
Mass density in g/cm3: 9.178
Magnetic moment in μB/f.u.: 0.00
Calculated formation energy in meV/atom: -305

a = 6.0395 Å, b = 6.0395 Å, c = 14.8468 Å
α = 90.00°, β = 90.00°, γ = 139.50°
Last column: nearest neighbours and their distance in Å.
Fractional coordinates of all 14 atoms:
Ac: 0.0106 0.9894 0.7500  6 Ni 3.05-3.13
Ac: 0.2866 0.7134 0.6056  6 Ni 3.08-3.43
Ac: 0.2866 0.7134 0.8944  6 Ni 3.08-3.43
Ac: 0.7134 0.2866 0.1056  6 Ni 3.08-3.43
Ac: 0.7134 0.2866 0.3944  6 Ni 3.08-3.43
Ac: 0.9894 0.0106 0.2500  6 Ni 3.05-3.13
In: 0.0000 0.0000 0.0000  4 Ni 2.78
In: 0.0000 0.0000 0.5000  4 Ni 2.78
Ni: 0.2930 0.7070 0.2500  2 Ni 2.55
Ni: 0.4124 0.5876 0.1042  1 Ni 2.55, 2 In 2.78
Ni: 0.4124 0.5876 0.3958  1 Ni 2.55, 2 In 2.78
Ni: 0.5876 0.4124 0.6042  1 Ni 2.55, 2 In 2.78
Ni: 0.5876 0.4124 0.8958  1 Ni 2.55, 2 In 2.78
Ni: 0.7070 0.2930 0.7500  2 Ni 2.55